## VHgPS2 (PBE)

Data for a relaxed VHgPS2 crystal.

Calculated values
Symmetry: No. 123
V in Å³ per atom: 19.85
E_tot in eV/atom: -4.567
Size of the total moment in μB per atom: 0.0000
Energy above the lowest structure with this stoichiometry in meV per atom: 0

Lattice parameters (Å, degrees): 4.513 4.513 4.871 90.00 90.00 90.00
Fractional positions:
P 0.000 0.000 0.500
V 0.000 0.000 0.000
S 0.500 0.000 0.000
S 0.000 0.500 0.000
Hg 0.500 0.500 0.500